[1]
Below is crystalline CaAs4Ru at its relaxed geometry, with properties calculated at the PBE level.

Cell: 5.5587 5.5587 5.5587 Å, 60.00 60.00 60.00°
With the nearest neighbours (Å) after each atom.
Element x y z (fractional)
Ca (0.7500, 0.7500, 0.7500)  12 As 3.26, 4 Ru 3.40
As (0.3736, 0.8793, 0.3736)  6 As 2.75-2.81
As (0.3736, 0.3736, 0.8793)  6 As 2.75-2.81
As (0.3736, 0.3736, 0.3736)  6 As 2.75-2.81
As (0.8793, 0.3736, 0.3736)  6 As 2.75-2.81
Ru (0.0000, 0.0000, 0.0000)  12 As 3.26, 4 Ca 3.40

Output
V = 20.24 Å³ per atom
symmetry = F-43m
calculated formation energy = 281.3 meV/atom

[2]
Below is crystalline CaAsRu at its relaxed geometry, with properties calculated at the PBE level.

Cell: 4.1337 4.1337 4.3965 Å, 90.00 90.00 120.00°
With the nearest neighbours (Å) after each atom.
Element x y z (fractional)
Ca (0.6667, 0.3333, 0.3333)  6 As 3.24-3.25, 6 Ru 3.24
As (0.0000, 0.0000, 0.8334)  3 Ru 2.39
Ru (0.3333, 0.6667, 0.8333)  3 As 2.39

Output
V = 21.69 Å³ per atom
symmetry = P-6m2
calculated formation energy = -476.9 meV/atom

- calculated formation energy of number 1 (CaAs4Ru)?
  281.3 meV/atom

- Which formula does entry 1 have?
  CaAs4Ru